Record 1
An optimized crystal structure of PdS2I2Cl4, computed with GGA-PBE.

Results
final energy: -25.7 eV/cell

a b c (Å): 4.669 7.088 8.825
angles (deg): 104.20 99.62 93.92
Space group P-1 (No. 2)
Inequivalent atoms, fractional coordinates:
1 Pd 0.000 0.000 0.000
2 S 0.297 0.224 0.216
3 I 0.048 0.520 0.220
4 Cl 0.263 0.155 0.851
5 Cl 0.267 0.159 0.426

Record 2
An optimized crystal structure of Ta2Nb2O5, computed with GGA-PBE.

Results
energy relative to the lowest polymorph listed for this composition: 0 meV per atom

a b c (Å): 3.821 3.821 7.250
angles (deg): 90.00 90.00 90.00
Space group P4/mmm (No. 123)
Inequivalent atoms, fractional coordinates:
1 Ta 0.000 0.000 0.205
2 Nb 0.500 0.500 0.000
3 Nb 0.500 0.500 0.500
4 O 0.000 0.000 0.500
5 O 0.000 0.500 0.297

Record 3
An optimized crystal structure of Rb3NbTe3Se, computed with GGA-PBE.

Results
final energy: -98.7 eV/cell

a b c (Å): 12.6626 12.6626 7.3868
angles (deg): 90.00 90.00 120.00
Space group R3m (No. 160, hexagonal axes)
Inequivalent atoms, fractional coordinates:
1 Rb 0.1803 0.3607 0.0000
2 Nb 0.0000 0.0000 0.7151
3 Te 0.2177 0.4353 0.4916
4 Se 0.0000 0.0000 0.3923

Record 4
An optimized crystal structure of PmFeIr, computed with GGA-PBE.

Results
energy relative to the lowest polymorph listed for this composition: 380 meV per atom
energy relative to the elements: 486 meV/atom

a b c (Å): 4.541 4.541 6.434
angles (deg): 90.00 90.00 90.00
Space group P4/nmm (No. 129, origin choice 2)
Inequivalent atoms, fractional coordinates:
1 Pm 0.250 0.750 0.000
2 Fe 0.250 0.250 0.356
3 Ir 0.250 0.250 0.720

Record 5
An optimized crystal structure of KCuGe, computed with GGA-PBE.

Results
energy relative to the lowest polymorph listed for this composition: 0 meV per atom

a b c (Å): 6.719 6.719 6.719
angles (deg): 90.00 90.00 90.00
Space group F-43m (No. 216)
Inequivalent atoms, fractional coordinates:
1 K 0.000 0.000 0.000
2 Cu 0.250 0.250 0.750
3 Ge 0.000 0.000 0.500

Record 6
An optimized crystal structure of LaPr2In3Ni3, computed with GGA-PBE.

Results
final energy: -87.1 eV/cell

a b c (Å): 4.007 13.096 7.616
angles (deg): 90.00 90.00 90.00
Space group Amm2 (No. 38)
Inequivalent atoms, fractional coordinates:
1 La 0.000 0.000 0.000
2 Pr 0.000 0.207 0.623
3 In 0.500 0.000 0.659
4 In 0.500 0.124 0.294
5 Ni 0.000 0.000 0.415
6 Ni 0.500 0.166 0.915

Record 7
An optimized crystal structure of Cs2HgIrBr6, computed with GGA-PBE.

Results
energy relative to the lowest polymorph listed for this composition: 0 meV per atom

a b c (Å): 13.667 7.896 7.891
angles (deg): 90.00 125.24 90.00
Space group C2/m (No. 12)
Inequivalent atoms, fractional coordinates:
1 Cs 0.250 0.000 0.250
2 Hg 0.000 0.000 0.500
3 Ir 0.000 0.500 0.000
4 Br 0.001 0.274 0.774
5 Br 0.226 0.500 0.227

Record 8
An optimized crystal structure of Pr2I, computed with GGA-PBE.

Results
energy relative to the lowest polymorph listed for this composition: 1155 meV per atom

a b c (Å): 14.013 14.013 14.013
angles (deg): 90.00 90.00 90.00
Space group Fd-3m (No. 227, origin choice 2)
Inequivalent atoms, fractional coordinates:
1 Pr 0.000 0.000 0.000
2 I 0.125 0.125 0.125